This record from the Alexandria database describes an optimized crystal structure of HoMgCo2. The functional is PBE.

a = 3.218 Å, b = 3.218 Å, c = 6.186 Å
α = 90.00°, β = 90.00°, γ = 90.00°
Atoms (fractional coordinates):
Ho 0.000 0.000 0.000
Mg 0.000 0.000 0.500
Co 0.500 0.500 0.271
Co 0.500 0.500 0.729

Calculated values
The energy of formation comes out at 45 meV per atom. The value obtained for the volume is 16.0 Å³ per atom. The calculation puts the final energy at -5.051 eV/atom.


This record from the Alexandria database describes an optimized crystal structure of Ho6Mg2Co. The functional is PBE.

a = 7.049 Å, b = 7.049 Å, c = 7.289 Å
α = 120.55°, β = 120.55°, γ = 61.45°
Atoms (fractional coordinates):
Ho 0.224 0.723 0.723
Ho 0.244 0.244 0.788
Ho 0.277 0.776 0.277
Ho 0.723 0.224 0.723
Ho 0.756 0.756 0.212
Ho 0.776 0.277 0.277
Mg 0.252 0.252 0.242
Mg 0.748 0.748 0.758
Co 0.500 0.500 0.000

Calculated values
The energy of formation comes out at -42 meV per atom. The value obtained for the volume is 28.5 Å³ per atom. The calculation puts the final energy at -4.238 eV/atom.


Q: Look up the volume of the first one.
A: 16.0 Å³ per atom


Q: What is the final energy in the second record?
A: -4.238 eV/atom


Q: Which formula does entry 2 have?
A: Ho6Mg2Co